A plane-wave DFT calculation with PBE with a Hubbard U was carried out for a relaxed La2VCdO6 crystal.

calculated volume: 137.30 Å³/f.u.
total energy: -147.7 eV per cell

CIF file:
```
data_La2VCdO6
_chemical_formula_sum 'La4 V2 Cd2 O12'
_cell_length_a 5.641
_cell_length_b 5.950
_cell_length_c 9.904
_cell_angle_alpha 90.00
_cell_angle_beta 124.29
_cell_angle_gamma 90.00
_symmetry_space_group_name_H-M 'P 1 21/c 1'
_symmetry_Int_Tables_number 14
_symmetry_space_group_name_Hall '-P 2ybc'
loop_
_atom_site_label
_atom_site_type_symbol
_atom_site_fract_x
_atom_site_fract_y
_atom_site_fract_z
La1 La 0.237 0.059 0.251
V1 V 0.000 0.000 0.500
Cd1 Cd 0.500 0.000 0.000
O1 O 0.109 0.217 0.932
O2 O 0.227 0.672 0.951
O3 O 0.343 0.050 0.730
```